First-principles (PBE) data for crystalline CuTcTePb at its relaxed geometry, as listed in OQMD.

The calculation puts the total energy at -4.66 eV per atom. As for the crystal system: cubic.

It has space group F-43m (No. 216), with a = 6.7697 Å, b = 6.7697 Å, c = 6.7697 Å, α = 90.00°, β = 90.00° and γ = 90.00°. Symmetry generates all atoms from Cu at (0.0000, 0.0000, 0.0000), Tc at (0.0000, 0.0000, 0.5000), Te at (0.2500, 0.2500, 0.2500) and Pb at (0.2500, 0.2500, 0.7500).